# 1
Ti4FeSb after structural relaxation, computed with GGA-PBE.

Volume (Å³ per cell): 215
Total DFT energy (no corrections) (eV per formula unit): -44.53
E_form (uncorrected) (eV/atom): -0.061
Space-group type: C2/c

```
Ti4FeSb
1.0
7.313 -2.505 0.000
7.313 2.505 0.000
-1.887 0.000 5.857
Ti Fe Sb
8 2 2
Direct
0.014 0.787 0.802
0.177 0.432 0.204
0.213 0.986 0.698
0.432 0.177 0.704
0.568 0.823 0.296
0.787 0.014 0.302
0.823 0.568 0.796
0.986 0.213 0.198
0.000 0.500 0.500
0.500 0.000 0.000
0.365 0.635 0.250
0.635 0.365 0.750
```



# 2
TiFe3Sb after structural relaxation, computed with GGA-PBE.

Volume (Å³ per cell): 79
Total DFT energy (no corrections) (eV per formula unit): -31.49
ΔE to the lowest computed polymorph (meV per atom): 0
E_form (uncorrected) (eV/atom): 1.183
Space-group type: Pm-3m

```
TiFe3Sb
1.0
4.292 0.000 0.000
0.000 4.292 0.000
0.000 0.000 4.292
Ti Fe Sb
1 3 1
Direct
0.000 0.000 0.000
0.000 0.000 0.500
0.000 0.500 0.000
0.500 0.000 0.000
0.500 0.500 0.500
```



# 3
Ti2FeSb2 after structural relaxation, computed with GGA-PBE.

Volume (Å³ per cell): 184
Total DFT energy (no corrections) (eV per formula unit): -32.75
E_form (uncorrected) (eV/atom): -0.051
Space-group type: P4/mbm

```
Ti2FeSb2
1.0
6.566 0.000 0.000
0.000 6.566 0.000
0.000 0.000 4.257
Ti Fe Sb
4 2 4
Direct
0.150 0.350 0.000
0.350 0.850 0.000
0.650 0.150 0.000
0.850 0.650 0.000
0.000 0.000 0.500
0.500 0.500 0.500
0.156 0.656 0.500
0.344 0.156 0.500
0.656 0.844 0.500
0.844 0.344 0.500
```